{"formula": "Cs2FeAs2O6", "functional": "GGA+U", "state": "relaxed", "total_energy_ev_per_atom": -5.619, "density_g_cm3": 4.89, "lattice_angstrom": [[5.982, 0.000, 0.000], [-2.991, 5.407, -0.046], [0.000, -3.172, 5.980]], "species": ["Cs", "Cs", "Fe", "As", "As", "O", "O", "O", "O", "O", "O"], "fractional_positions": [[0.719, 0.439, 0.169], [0.281, 0.561, 0.831], [0.500, 0.000, 0.500], [0.937, 0.874, 0.785], [0.063, 0.126, 0.215], [0.759, 0.519, 0.695], [0.244, 0.006, 0.282], [0.238, 0.994, 0.718], [0.756, 0.994, 0.718], [0.762, 0.006, 0.282], [0.241, 0.481, 0.305]]}